1.
The following is a DFT calculation (PBE-GGA) of a relaxed LiDy3Pa3Se8 crystal.

Geometry as POSCAR:
```
LiDy3Pa3Se8
1.0
8.046 0.000 0.000
-4.023 6.968 -0.024
0.000 -4.622 6.752
Dy Se Li Pa
3 8 1 3
direct
0.500 0.500 0.000
0.000 0.500 0.000
0.000 0.000 0.000
0.248 0.001 0.749
0.752 0.999 0.251
0.246 0.999 0.251
0.752 0.504 0.756
0.752 0.504 0.251
0.754 0.001 0.749
0.248 0.496 0.749
0.248 0.496 0.244
0.000 0.000 0.500
0.500 0.000 0.500
0.000 0.500 0.500
0.500 0.500 0.500
```

Properties
D(E_F)   14.2 states/eV per cell
Total magnetic moment   3.8 Bohr magnetons per cell
Raw formation energy   -145.8 kJ per mole of atoms
E   -94.7 eV/cell


2.
The following is a DFT calculation (PBE-GGA) of a relaxed SmY2TmBi5 crystal.

Geometry as POSCAR:
```
SmY2TmBi5
1.0
5.513 0.000 0.000
0.000 5.513 0.000
0.000 0.000 11.819
Y Bi Tm Sm
2 5 1 1
direct
0.500 0.500 0.729
0.500 0.500 0.271
0.000 0.000 0.757
0.000 0.000 0.243
0.500 0.000 0.500
0.000 0.500 0.500
0.500 0.500 0.000
0.000 0.000 0.000
0.000 0.000 0.500
```

Properties
D(E_F)   5.9 states/eV per cell
Total magnetic moment   0.0 Bohr magnetons per cell
E   -40.7 eV/cell
Formation enthalpy at 0 K   0.0926 eV per atom


3.
The following is a DFT calculation (PBE-GGA) of a relaxed AlMo3 crystal.

Geometry as POSCAR:
```
AlMo3
1.0
5.596 0.000 0.000
-2.798 4.846 0.000
0.000 0.000 9.247
Mo Al
12 4
direct
0.500 0.500 0.000
0.828 0.656 0.250
0.000 0.500 0.000
0.172 0.344 0.750
0.000 0.500 0.500
0.500 0.000 0.000
0.500 0.500 0.500
0.172 0.828 0.750
0.344 0.172 0.250
0.828 0.172 0.250
0.500 0.000 0.500
0.656 0.828 0.750
0.667 0.333 0.750
0.333 0.667 0.250
0.000 0.000 0.500
0.000 0.000 0.000
```

Properties
D(E_F)   12.3 states/eV per cell
Total magnetic moment   0.0 Bohr magnetons per cell
E above lowest polymorph   275 meV/atom
E   -144.6 eV/cell
Formation enthalpy at 0 K   0.0226 eV per atom